Entry 1:
First-principles (PBE) data for a relaxed CsPdAuO3 crystal, as listed in OQMD via LeMat-Bulk.

Properties
Electronic total energy (eV per atom): -4.5850

Cell lengths 12.4727, 3.2557, 10.6701 Å; angles 90.00, 90.00, 90.00 degrees
Last column: nearest neighbours and their distance in Å.
Positions (direct):
Cs (0.2404, 0.2500, 0.1535)  5 O 2.96-3.01, 2 Cs 3.26
Cs (0.2596, 0.7500, 0.6535)  5 O 2.96-3.01, 2 Cs 3.26
Cs (0.7404, 0.2500, 0.3465)  5 O 2.96-3.01, 2 Cs 3.26
Cs (0.7596, 0.7500, 0.8465)  5 O 2.96-3.01, 2 Cs 3.26
Pd (0.0227, 0.2500, 0.3801)  6 O 2.01-2.10
Pd (0.4773, 0.7500, 0.8801)  6 O 2.01-2.10
Pd (0.5227, 0.2500, 0.1199)  6 O 2.01-2.10
Pd (0.9773, 0.7500, 0.6199)  6 O 2.01-2.10
Au (0.0182, 0.2500, 0.9102)  2 O 2.14
Au (0.4818, 0.7500, 0.4102)  2 O 2.14
Au (0.5182, 0.2500, 0.5898)  2 O 2.14
Au (0.9818, 0.7500, 0.0898)  2 O 2.14
O (0.0516, 0.7500, 0.7868)  1 Pd 2.01, 2 Au 2.14
O (0.0720, 0.2500, 0.5635)  3 Pd 2.05-2.10
O (0.1156, 0.7500, 0.3353)  2 Pd 2.05
O (0.3844, 0.2500, 0.8353)  2 Pd 2.05
O (0.4280, 0.7500, 0.0635)  3 Pd 2.05-2.10
O (0.4484, 0.2500, 0.2868)  1 Pd 2.01, 2 Au 2.14
O (0.5516, 0.7500, 0.7132)  1 Pd 2.01, 2 Au 2.14
O (0.5720, 0.2500, 0.9365)  3 Pd 2.05-2.10
O (0.6156, 0.7500, 0.1647)  2 Pd 2.05
O (0.8844, 0.2500, 0.6647)  2 Pd 2.05
O (0.9280, 0.7500, 0.4365)  3 Pd 2.05-2.10
O (0.9484, 0.2500, 0.2132)  1 Pd 2.01, 2 Au 2.14

Entry 2:
First-principles (PBE) data for a relaxed Cs2PtAuO4 crystal, as listed in OQMD via LeMat-Bulk.

Properties
Magnetization (μB/cell): 2.00
Electronic total energy (eV per atom): -4.6916

Cell lengths 6.1360, 5.1631, 12.1756 Å; angles 90.00, 90.00, 90.00 degrees
Last column: nearest neighbours and their distance in Å.
Positions (direct):
Cs (0.0000, 0.0000, 0.0000)  6 O 2.94-3.14
Cs (0.0000, 0.5000, 0.5000)  6 O 2.94-3.14
Cs (0.5000, 0.0000, 0.3774)  6 O 2.94-3.15
Cs (0.5000, 0.5000, 0.8774)  6 O 2.94-3.15
Pt (0.0000, 0.0000, 0.6915)  4 O 2.01
Pt (0.0000, 0.5000, 0.1915)  4 O 2.01
Au (0.5000, 0.0000, 0.6857)  4 O 2.02
Au (0.5000, 0.5000, 0.1857)  4 O 2.02
O (0.2438, 0.0000, 0.5816)  1 Pt 2.01, 1 Au 2.02
O (0.2438, 0.5000, 0.0816)  1 Pt 2.01, 1 Au 2.02
O (0.2540, 0.0000, 0.7954)  1 Pt 2.01, 1 Au 2.02
O (0.2540, 0.5000, 0.2954)  1 Pt 2.01, 1 Au 2.02
O (0.7460, 0.0000, 0.7954)  1 Pt 2.01, 1 Au 2.02
O (0.7460, 0.5000, 0.2954)  1 Pt 2.01, 1 Au 2.02
O (0.7562, 0.0000, 0.5816)  1 Pt 2.01, 1 Au 2.02
O (0.7562, 0.5000, 0.0816)  1 Pt 2.01, 1 Au 2.02

Repeat the first record exactly.
First-principles (PBE) data for a relaxed CsPdAuO3 crystal, as listed in OQMD via LeMat-Bulk.

Properties
Electronic total energy (eV per atom): -4.5850

Cell lengths 12.4727, 3.2557, 10.6701 Å; angles 90.00, 90.00, 90.00 degrees
Last column: nearest neighbours and their distance in Å.
Positions (direct):
Cs (0.2404, 0.2500, 0.1535)  5 O 2.96-3.01, 2 Cs 3.26
Cs (0.2596, 0.7500, 0.6535)  5 O 2.96-3.01, 2 Cs 3.26
Cs (0.7404, 0.2500, 0.3465)  5 O 2.96-3.01, 2 Cs 3.26
Cs (0.7596, 0.7500, 0.8465)  5 O 2.96-3.01, 2 Cs 3.26
Pd (0.0227, 0.2500, 0.3801)  6 O 2.01-2.10
Pd (0.4773, 0.7500, 0.8801)  6 O 2.01-2.10
Pd (0.5227, 0.2500, 0.1199)  6 O 2.01-2.10
Pd (0.9773, 0.7500, 0.6199)  6 O 2.01-2.10
Au (0.0182, 0.2500, 0.9102)  2 O 2.14
Au (0.4818, 0.7500, 0.4102)  2 O 2.14
Au (0.5182, 0.2500, 0.5898)  2 O 2.14
Au (0.9818, 0.7500, 0.0898)  2 O 2.14
O (0.0516, 0.7500, 0.7868)  1 Pd 2.01, 2 Au 2.14
O (0.0720, 0.2500, 0.5635)  3 Pd 2.05-2.10
O (0.1156, 0.7500, 0.3353)  2 Pd 2.05
O (0.3844, 0.2500, 0.8353)  2 Pd 2.05
O (0.4280, 0.7500, 0.0635)  3 Pd 2.05-2.10
O (0.4484, 0.2500, 0.2868)  1 Pd 2.01, 2 Au 2.14
O (0.5516, 0.7500, 0.7132)  1 Pd 2.01, 2 Au 2.14
O (0.5720, 0.2500, 0.9365)  3 Pd 2.05-2.10
O (0.6156, 0.7500, 0.1647)  2 Pd 2.05
O (0.8844, 0.2500, 0.6647)  2 Pd 2.05
O (0.9280, 0.7500, 0.4365)  3 Pd 2.05-2.10
O (0.9484, 0.2500, 0.2132)  1 Pd 2.01, 2 Au 2.14

Q: What is the formula in the second record?
A: Cs2PtAuO4

Q: Among the records above, which one has the highest electronic total energy?
A: CsPdAuO3